VASP calculation (PBE) on a geometry-optimized TiRh2S4 structure.

The structure in POSCAR format:
```
TiRh2S4
1.0
12.5229 0.0000 0.0000
0.0000 3.4690 0.0000
-3.1081 0.0000 5.4651
Ti Rh S
2 4 8
Direct
0.0000 0.0000 0.0000
0.5000 0.5000 0.0000
0.2382 0.5000 0.7494
0.2619 0.0000 0.2506
0.7382 0.0000 0.7494
0.7618 0.5000 0.2506
0.1312 0.5000 0.2980
0.1322 0.0000 0.8154
0.3678 0.5000 0.1846
0.3688 0.0000 0.7020
0.6312 0.0000 0.2980
0.6322 0.5000 0.8154
0.8678 0.0000 0.1846
0.8688 0.5000 0.7020
```

## Properties
DOS at the Fermi energy, states/eV/f.u.: 4.85
Uncorrected formation energy, eV per formula unit: -5.102
Crystal system: monoclinic
Symmetry: C2/m

VASP calculation (PBE) on a geometry-optimized Ti4RhS structure.

The structure in POSCAR format:
```
Ti4RhS
1.0
7.8423 0.0000 0.0000
0.0000 7.9444 0.0000
0.0000 0.0000 3.6218
Ti Rh S
8 2 2
Direct
0.0000 0.1896 0.0000
0.0000 0.8104 0.0000
0.2040 0.5000 0.5000
0.2960 0.0000 0.5000
0.5000 0.3104 0.0000
0.5000 0.6896 0.0000
0.7040 0.0000 0.5000
0.7960 0.5000 0.5000
0.0000 0.5000 0.0000
0.5000 0.0000 0.0000
0.0000 0.0000 0.5000
0.5000 0.5000 0.5000
```

## Properties
DOS at the Fermi energy, states/eV/f.u.: 4.39
Uncorrected formation energy, eV per formula unit: -1.956
Crystal system: orthorhombic
Symmetry: Cmmm

VASP calculation (PBE) on a geometry-optimized TiRhS2 structure.

The structure in POSCAR format:
```
TiRhS2
1.0
6.0837 0.0000 0.0000
0.0000 6.0837 0.0000
0.0000 0.0000 6.0837
Ti Rh S
4 4 8
Direct
0.0000 0.0000 0.0000
0.0000 0.5000 0.5000
0.5000 0.0000 0.5000
0.5000 0.5000 0.0000
0.0000 0.0000 0.5000
0.0000 0.5000 0.0000
0.5000 0.0000 0.0000
0.5000 0.5000 0.5000
0.2500 0.2500 0.2500
0.2500 0.2500 0.7500
0.2500 0.7500 0.2500
0.2500 0.7500 0.7500
0.7500 0.2500 0.2500
0.7500 0.2500 0.7500
0.7500 0.7500 0.2500
0.7500 0.7500 0.7500
```

## Properties
DOS at the Fermi energy, states/eV/f.u.: 4.24
Uncorrected formation energy, eV per formula unit: -2.254
Energy relative to the lowest polymorph listed for this composition, eV/f.u.: 0.895
Crystal system: cubic
Symmetry: Fm-3m

VASP calculation (PBE) on a geometry-optimized TiRhS2 structure.

The structure in POSCAR format:
```
TiRhS2
1.0
3.4292 0.0000 0.0000
-1.7146 2.9698 0.0000
0.0000 0.0000 22.0789
Ti Rh S
3 3 6
Direct
0.0000 0.0000 0.0000
0.3333 0.6667 0.6667
0.6667 0.3333 0.3333
0.0000 0.0000 0.5000
0.3333 0.6667 0.1667
0.6667 0.3333 0.8333
0.0000 0.0000 0.1068
0.0000 0.0000 0.8932
0.3333 0.6667 0.5599
0.3333 0.6667 0.7735
0.6667 0.3333 0.2265
0.6667 0.3333 0.4401
```

## Properties
DOS at the Fermi energy, states/eV/f.u.: 3.79
Uncorrected formation energy, eV per formula unit: -0.993
Energy relative to the lowest polymorph listed for this composition, eV/f.u.: 2.156
Crystal system: trigonal
Symmetry: R-3m

VASP calculation (PBE) on a geometry-optimized TiRhS2 structure.

The structure in POSCAR format:
```
TiRhS2
1.0
5.3422 0.0000 0.0000
0.0000 5.3422 0.0000
0.0000 0.0000 10.8140
Ti Rh S
4 4 8
Direct
0.0000 0.0000 0.0000
0.0000 0.5000 0.2500
0.5000 0.0000 0.7500
0.5000 0.5000 0.5000
0.0000 0.0000 0.5000
0.0000 0.5000 0.7500
0.5000 0.0000 0.2500
0.5000 0.5000 0.0000
0.2489 0.2500 0.6250
0.2500 0.7489 0.8750
0.2500 0.7511 0.3750
0.2511 0.2500 0.1250
0.7489 0.7500 0.1250
0.7500 0.2489 0.3750
0.7500 0.2511 0.8750
0.7511 0.7500 0.6250
```

## Properties
DOS at the Fermi energy, states/eV/f.u.: 2.88
Uncorrected formation energy, eV per formula unit: -2.853
Energy relative to the lowest polymorph listed for this composition, eV/f.u.: 0.296
Crystal system: tetragonal
Symmetry: I-42d

VASP calculation (PBE) on a geometry-optimized Ti5RhS structure.

The structure in POSCAR format:
```
Ti5RhS
1.0
4.7899 -2.8976 0.0000
4.7899 2.8976 0.0000
-4.0905 0.0000 8.4027
Ti Rh S
10 2 2
Direct
0.0243 0.9757 0.7500
0.0621 0.4109 0.6342
0.2162 0.5145 0.9587
0.4109 0.0621 0.1342
0.4855 0.7838 0.5413
0.5145 0.2162 0.4587
0.5891 0.9379 0.8658
0.7838 0.4855 0.0413
0.9379 0.5891 0.3658
0.9757 0.0243 0.2500
0.4680 0.5320 0.2500
0.5320 0.4680 0.7500
0.0000 0.0000 0.0000
0.0000 0.0000 0.5000
```

## Properties
DOS at the Fermi energy, states/eV/f.u.: 8.56
Uncorrected formation energy, eV per formula unit: -3.186
Crystal system: monoclinic
Symmetry: C2/c

VASP calculation (PBE) on a geometry-optimized Ti4Rh2S9 structure.

The structure in POSCAR format:
```
Ti4Rh2S9
1.0
5.1048 -3.0220 0.0000
5.1048 3.0220 0.0000
-0.3655 0.0000 16.9540
Ti Rh S
8 4 18
Direct
0.1596 0.1708 0.0033
0.1602 0.2089 0.3270
0.1708 0.1596 0.5033
0.2089 0.1602 0.8270
0.7911 0.8398 0.1730
0.8292 0.8404 0.4967
0.8398 0.7911 0.6730
0.8404 0.8292 0.9967
0.4829 0.4925 0.3410
0.4925 0.4829 0.8410
0.5075 0.5171 0.1590
0.5171 0.5075 0.6590
0.1452 0.8544 0.4103
0.1456 0.8548 0.0897
0.1555 0.4978 0.9166
0.1681 0.5131 0.2425
0.1693 0.5054 0.5827
0.1954 0.8046 0.7500
0.4869 0.8319 0.2575
0.4946 0.8307 0.9173
0.4978 0.1555 0.4166
0.5022 0.8445 0.5834
0.5054 0.1693 0.0827
0.5131 0.1681 0.7425
0.8046 0.1954 0.2500
0.8307 0.4946 0.4173
0.8319 0.4869 0.7575
0.8445 0.5022 0.0834
0.8544 0.1452 0.9103
0.8548 0.1456 0.5897
```

## Properties
DOS at the Fermi energy, states/eV/f.u.: 8.96
Uncorrected formation energy, eV per formula unit: -15.634
Crystal system: monoclinic
Symmetry: C2/c

VASP calculation (PBE) on a geometry-optimized TiRh2S structure.

The structure in POSCAR format:
```
TiRh2S
1.0
5.1275 0.0000 0.0000
0.0000 5.1275 0.0000
0.0000 0.0000 11.8330
Ti Rh S
4 8 4
Direct
0.0000 0.0000 0.0000
0.0000 0.5000 0.2500
0.5000 0.0000 0.7500
0.5000 0.5000 0.5000
0.2142 0.2500 0.6250
0.2500 0.7142 0.8750
0.2500 0.7858 0.3750
0.2858 0.2500 0.1250
0.7142 0.7500 0.1250
0.7500 0.2142 0.3750
0.7500 0.2858 0.8750
0.7858 0.7500 0.6250
0.0000 0.0000 0.5000
0.0000 0.5000 0.7500
0.5000 0.0000 0.2500
0.5000 0.5000 0.0000
```

## Properties
DOS at the Fermi energy, states/eV/f.u.: 1.50
Uncorrected formation energy, eV per formula unit: -0.712
Crystal system: tetragonal
Symmetry: I-42d

VASP calculation (PBE) on a geometry-optimized TiRhS2 structure.

The structure in POSCAR format:
```
TiRhS2
1.0
3.2252 0.0000 0.0000
-1.6126 2.7931 0.0000
0.0000 0.0000 22.6948
Ti Rh S
3 3 6
Direct
0.0000 0.0000 0.0000
0.3333 0.6667 0.6667
0.6667 0.3333 0.3333
0.0000 0.0000 0.5000
0.3333 0.6667 0.1667
0.6667 0.3333 0.8333
0.0000 0.0000 0.4003
0.0000 0.0000 0.5997
0.3333 0.6667 0.0669
0.3333 0.6667 0.2664
0.6667 0.3333 0.7336
0.6667 0.3333 0.9331
```

## Properties
DOS at the Fermi energy, states/eV/f.u.: 4.02
Uncorrected formation energy, eV per formula unit: -2.920
Energy relative to the lowest polymorph listed for this composition, eV/f.u.: 0.229
Crystal system: trigonal
Symmetry: R-3m

VASP calculation (PBE) on a geometry-optimized TiTlRhS3 structure.

The structure in POSCAR format:
```
TiTlRhS3
1.0
8.1030 0.0000 0.0000
0.0000 3.5612 0.0000
-3.5554 0.0000 8.8730
Ti Tl Rh S
2 2 2 6
Direct
0.1912 0.2500 0.1571
0.8088 0.7500 0.8429
0.2475 0.7500 0.7385
0.7525 0.2500 0.2615
0.4081 0.7500 0.3931
0.5919 0.2500 0.6069
0.0403 0.2500 0.8748
0.2478 0.2500 0.4231
0.3864 0.7500 0.1368
0.6136 0.2500 0.8632
0.7522 0.7500 0.5769
0.9597 0.7500 0.1252
```

## Properties
DOS at the Fermi energy, states/eV/f.u.: 2.15
Uncorrected formation energy, eV per formula unit: -4.843
Crystal system: monoclinic
Symmetry: P2_1/m

VASP calculation (PBE) on a geometry-optimized TlRh2S4 structure.

The structure in POSCAR format:
```
TlRh2S4
1.0
-3.2766 3.2766 6.3321
3.2766 -3.2766 6.3321
3.2766 3.2766 -6.3321
Tl Rh S
2 4 8
Direct
0.3750 0.1250 0.2500
0.6250 0.8750 0.7500
0.0000 0.0000 0.5000
0.0000 0.5000 0.0000
0.0000 0.5000 0.5000
0.5000 0.5000 0.0000
0.0106 0.7067 0.8907
0.2067 0.8160 0.6961
0.3160 0.1199 0.6093
0.3801 0.4894 0.1961
0.6199 0.5106 0.8039
0.6840 0.8801 0.3907
0.7933 0.1840 0.3039
0.9894 0.2933 0.1093
```

## Properties
DOS at the Fermi energy, states/eV/f.u.: 6.17
Uncorrected formation energy, eV per formula unit: -0.738
Crystal system: tetragonal
Symmetry: I4_1/a

VASP calculation (PBE) on a geometry-optimized Tl2Rh3S4 structure.

The structure in POSCAR format:
```
Tl2Rh3S4
1.0
0.0000 5.1560 6.5097
2.9776 0.0000 6.5097
2.9776 5.1560 0.0000
Tl Rh S
2 3 4
Direct
0.1472 0.1472 0.8528
0.8528 0.8528 0.1472
0.0000 0.0000 0.5000
0.5000 0.5000 0.0000
0.5000 0.5000 0.5000
0.2110 0.5439 0.4561
0.4561 0.7890 0.2110
0.5439 0.2110 0.7890
0.7890 0.4561 0.5439
```

## Properties
DOS at the Fermi energy, states/eV/f.u.: 8.88
Uncorrected formation energy, eV per formula unit: -2.926
Crystal system: orthorhombic
Symmetry: Fmmm

VASP calculation (PBE) on a geometry-optimized TlRhS2 structure.

The structure in POSCAR format:
```
TlRhS2
1.0
3.5751 0.0000 0.0000
-1.7876 3.0961 0.0000
0.0000 0.0000 25.0261
Tl Rh S
3 3 6
Direct
0.0000 0.0000 0.0000
0.3333 0.6667 0.6667
0.6667 0.3333 0.3333
0.0000 0.0000 0.5000
0.3333 0.6667 0.1667
0.6667 0.3333 0.8333
0.0000 0.0000 0.1194
0.0000 0.0000 0.8806
0.3333 0.6667 0.5473
0.3333 0.6667 0.7861
0.6667 0.3333 0.2139
0.6667 0.3333 0.4527
```

## Properties
DOS at the Fermi energy, states/eV/f.u.: 3.00
Uncorrected formation energy, eV per formula unit: -1.333
Crystal system: trigonal
Symmetry: R-3m

VASP calculation (PBE) on a geometry-optimized TlRhS3 structure.

The structure in POSCAR format:
```
TlRhS3
1.0
4.7421 0.0000 0.0000
0.0000 4.7421 0.0000
0.0000 0.0000 4.7421
Tl Rh S
1 1 3
Direct
0.0000 0.0000 0.0000
0.5000 0.5000 0.5000
0.0000 0.5000 0.5000
0.5000 0.0000 0.5000
0.5000 0.5000 0.0000
```

## Properties
DOS at the Fermi energy, states/eV/f.u.: 6.46
Uncorrected formation energy, eV per formula unit: 0.957
Energy relative to the lowest polymorph listed for this composition, eV/f.u.: 0.000
Crystal system: cubic
Symmetry: Pm-3m

VASP calculation (PBE) on a geometry-optimized TlRhS structure.

The structure in POSCAR format:
```
TlRhS
1.0
11.1196 0.0000 0.0000
0.0000 3.6184 0.0000
0.0000 0.0000 6.4534
Tl Rh S
4 4 4
Direct
0.2323 0.2500 0.0487
0.2677 0.7500 0.5487
0.7323 0.2500 0.4513
0.7677 0.7500 0.9513
0.0816 0.2500 0.4000
0.4184 0.7500 0.9000
0.5816 0.2500 0.1000
0.9184 0.7500 0.6000
0.0202 0.2500 0.7454
0.4798 0.7500 0.2454
0.5202 0.2500 0.7546
0.9798 0.7500 0.2546
```

## Properties
DOS at the Fermi energy, states/eV/f.u.: 2.36
Uncorrected formation energy, eV per formula unit: -0.573
Energy relative to the lowest polymorph listed for this composition, eV/f.u.: 0.083
Crystal system: orthorhombic
Symmetry: Pnma

VASP calculation (PBE) on a geometry-optimized TlRhS2 structure.

The structure in POSCAR format:
```
TlRhS2
1.0
3.6601 0.0000 0.0000
-1.8300 3.1697 0.0000
0.0000 0.0000 7.2226
Tl Rh S
1 1 2
Direct
0.0000 0.0000 0.0000
0.0000 0.0000 0.5000
0.3333 0.6667 0.6608
0.6667 0.3333 0.3392
```

## Properties
DOS at the Fermi energy, states/eV/f.u.: 0.82
Uncorrected formation energy, eV per formula unit: -1.655
Crystal system: trigonal
Symmetry: P-3m1

VASP calculation (PBE) on a geometry-optimized TlRhS structure.

The structure in POSCAR format:
```
TlRhS
1.0
3.4276 0.0000 0.0000
-1.7138 2.9684 0.0000
0.0000 0.0000 6.4466
Tl Rh S
1 1 1
Direct
0.0000 0.0000 0.0000
0.6667 0.3333 0.3899
0.3333 0.6667 0.5553
```

## Properties
DOS at the Fermi energy, states/eV/f.u.: 1.98
Uncorrected formation energy, eV per formula unit: -0.421
Energy relative to the lowest polymorph listed for this composition, eV/f.u.: 0.236
Crystal system: trigonal
Symmetry: P3m1

VASP calculation (PBE) on a geometry-optimized Tl2Rh3S2 structure.

The structure in POSCAR format:
```
Tl2Rh3S2
1.0
2.8725 1.6584 4.7232
-2.8725 1.6584 4.7232
0.0000 -3.3168 4.7232
Tl Rh S
2 3 2
Direct
0.0000 0.0000 0.0000
0.5000 0.5000 0.5000
0.0000 0.5000 0.5000
0.5000 0.0000 0.5000
0.5000 0.5000 0.0000
0.2197 0.2197 0.2197
0.7803 0.7803 0.7803
```

## Properties
DOS at the Fermi energy, states/eV/f.u.: 6.14
Uncorrected formation energy, eV per formula unit: -2.212
Crystal system: trigonal
Symmetry: R-3m

VASP calculation (PBE) on a geometry-optimized Tl2Rh3S6 structure.

The structure in POSCAR format:
```
Tl2Rh3S6
1.0
3.1297 -5.4345 0.0000
3.1297 5.4345 0.0000
-2.1097 0.0000 6.9579
Tl Rh S
2 3 6
Direct
0.1653 0.8347 0.0000
0.8347 0.1653 0.0000
0.0000 0.0000 0.5000
0.3307 0.6693 0.5000
0.6693 0.3307 0.5000
0.0569 0.3902 0.6699
0.2762 0.2762 0.3298
0.3902 0.0569 0.6699
0.6098 0.9431 0.3301
0.7238 0.7238 0.6702
0.9431 0.6098 0.3301
```

## Properties
DOS at the Fermi energy, states/eV/f.u.: 3.61
Uncorrected formation energy, eV per formula unit: -4.516
Crystal system: monoclinic
Symmetry: C2/m

VASP calculation (PBE) on a geometry-optimized TlRh6S8 structure.

The structure in POSCAR format:
```
TlRh6S8
1.0
4.6337 2.6753 3.7727
-4.6337 2.6753 3.7727
0.0000 -5.3505 3.7727
Tl Rh S
1 6 8
Direct
0.0000 0.0000 0.0000
0.1886 0.4047 0.5683
0.4047 0.5683 0.1886
0.4317 0.8114 0.5953
0.5683 0.1886 0.4047
0.5953 0.4317 0.8114
0.8114 0.5953 0.4317
0.1420 0.7276 0.3802
0.2549 0.2549 0.2549
0.2724 0.6198 0.8580
0.3802 0.1420 0.7276
0.6198 0.8580 0.2724
0.7276 0.3802 0.1420
0.7451 0.7451 0.7451
0.8580 0.2724 0.6198
```

## Properties
DOS at the Fermi energy, states/eV/f.u.: 7.56
Uncorrected formation energy, eV per formula unit: -5.382
Crystal system: trigonal
Symmetry: R-3